Version A
{
  "formula": "Li2TlSn",
  "functional": "SCAN",
  "state": "PBEsol geometry",
  "cell": [[4.806, -2.875, 0.000], [4.806, 2.875, 0.000], [-2.164, 0.000, 6.181]],
  "species": ["Li", "Li", "Li", "Li", "Tl", "Tl", "Sn", "Sn"],
  "frac_coords": [[0.000, 0.000, 0.000], [0.480, 0.515, 0.775], [0.485, 0.520, 0.225], [0.932, 0.068, 0.500], [0.077, 0.467, 0.386], [0.533, 0.923, 0.614], [0.048, 0.437, 0.878], [0.563, 0.952, 0.122]],
  "crystal_system": "monoclinic",
  "total_magnetization_mub_per_atom": 0.000,
  "space_group": "C2 (5)"
}

=====

Version B
{
  "formula": "Li2TlSn",
  "functional": "SCAN",
  "state": "PBEsol geometry",
  "cell": [[0.000, 3.406, 3.406], [3.406, 0.000, 3.406], [3.406, 3.406, 0.000]],
  "species": ["Li", "Li", "Tl", "Sn"],
  "frac_coords": [[0.250, 0.250, 0.250], [0.750, 0.750, 0.750], [0.000, 0.000, 0.000], [0.500, 0.500, 0.500]],
  "crystal_system": "cubic",
  "total_magnetization_mub_per_atom": 0.000,
  "space_group": "Fm-3m (225)"
}

=====

Need the numbers? Relative energies in meV/atom: version A 97; version B 0.

=====

Version A
{
  "formula": "Li3ZnSn",
  "functional": "SCAN",
  "state": "PBEsol geometry",
  "cell": [[5.099, 0.000, 0.000], [0.000, 5.099, 0.000], [0.000, 0.000, 5.099]],
  "species": ["Li", "Li", "Li", "Zn", "Sn"],
  "frac_coords": [[0.000, 0.000, 0.500], [0.000, 0.500, 0.000], [0.500, 0.000, 0.000], [0.500, 0.500, 0.500], [0.000, 0.000, 0.000]],
  "crystal_system": "cubic",
  "total_magnetization_mub_per_atom": 0.000,
  "space_group": "Pm-3m (221)"
}

=====

Version B
{
  "formula": "Li3ZnSn",
  "functional": "SCAN",
  "state": "PBEsol geometry",
  "cell": [[4.640, 0.000, 0.000], [0.000, 4.640, 0.000], [0.000, 0.000, 4.640]],
  "species": ["Li", "Li", "Li", "Zn", "Sn"],
  "frac_coords": [[0.000, 0.000, 0.500], [0.000, 0.500, 0.000], [0.500, 0.000, 0.000], [0.000, 0.000, 0.000], [0.500, 0.500, 0.500]],
  "crystal_system": "cubic",
  "total_magnetization_mub_per_atom": 0.000,
  "space_group": "Pm-3m (221)"
}

=====

Need the numbers? Relative energies in meV/atom: version A 188; version B 0.

=====

Version A
{
  "formula": "SrLi5",
  "functional": "SCAN",
  "state": "PBEsol geometry",
  "cell": [[6.177, 0.000, 0.000], [-3.088, 5.349, 0.000], [0.000, 0.000, 4.743]],
  "species": ["Sr", "Li", "Li", "Li", "Li", "Li"],
  "frac_coords": [[0.000, 0.000, 0.000], [0.000, 0.500, 0.500], [0.333, 0.667, 0.000], [0.500, 0.000, 0.500], [0.500, 0.500, 0.500], [0.667, 0.333, 0.000]],
  "crystal_system": "hexagonal",
  "total_magnetization_mub_per_atom": 0.058,
  "space_group": "P6/mmm (191)"
}

=====

Version B
{
  "formula": "SrLi5",
  "functional": "SCAN",
  "state": "PBEsol geometry",
  "cell": [[5.842, -1.918, 0.000], [5.842, 1.918, 0.000], [-2.168, 0.000, 6.906]],
  "species": ["Sr", "Li", "Li", "Li", "Li", "Li"],
  "frac_coords": [[0.000, 0.000, 0.000], [0.000, 0.000, 0.500], [0.313, 0.313, 0.196], [0.329, 0.329, 0.618], [0.671, 0.671, 0.382], [0.687, 0.687, 0.804]],
  "crystal_system": "monoclinic",
  "total_magnetization_mub_per_atom": 0.065,
  "space_group": "C2/m (12)"
}

=====

Need the numbers? Relative energies in meV/atom: version A 0; version B 45.

=====

Version A
{
  "formula": "Sr4Li5",
  "functional": "SCAN",
  "state": "PBEsol geometry",
  "cell": [[-5.372, 5.372, 2.796], [5.372, -5.372, 2.796], [5.372, 5.372, -2.796]],
  "species": ["Sr", "Sr", "Sr", "Sr", "Li", "Li", "Li", "Li", "Li"],
  "frac_coords": [[0.000, 0.305, 0.305], [0.000, 0.695, 0.695], [0.305, 0.000, 0.305], [0.695, 0.000, 0.695], [0.000, 0.000, 0.000], [0.360, 0.360, 0.721], [0.360, 0.640, 0.000], [0.640, 0.360, 0.000], [0.640, 0.640, 0.279]],
  "crystal_system": "tetragonal",
  "total_magnetization_mub_per_atom": 0.072,
  "space_group": "I4/mmm (139)"
}

=====

Version B
{
  "formula": "Sr4Li5",
  "functional": "SCAN",
  "state": "PBEsol geometry",
  "cell": [[10.249, 0.000, 0.000], [-5.124, 8.876, 0.000], [0.000, 0.000, 7.146]],
  "species": ["Sr", "Sr", "Sr", "Sr", "Sr", "Sr", "Sr", "Sr", "Li", "Li", "Li", "Li", "Li", "Li", "Li", "Li", "Li", "Li"],
  "frac_coords": [[0.000, 0.000, 0.000], [0.000, 0.000, 0.500], [0.000, 0.360, 0.250], [0.000, 0.640, 0.750], [0.360, 0.000, 0.250], [0.360, 0.360, 0.750], [0.640, 0.000, 0.750], [0.640, 0.640, 0.250], [0.000, 0.313, 0.750], [0.000, 0.687, 0.250], [0.313, 0.000, 0.750], [0.313, 0.313, 0.250], [0.333, 0.667, 0.000], [0.333, 0.667, 0.500], [0.667, 0.333, 0.000], [0.667, 0.333, 0.500], [0.687, 0.000, 0.250], [0.687, 0.687, 0.750]],
  "crystal_system": "hexagonal",
  "total_magnetization_mub_per_atom": 0.009,
  "space_group": "P6_3/mcm (193)"
}

=====

Need the numbers? Relative energies in meV/atom: version A 0; version B 13.

=====

Version A
{
  "formula": "SrLi2Tc",
  "functional": "SCAN",
  "state": "PBEsol geometry",
  "cell": [[3.304, 0.000, 0.000], [0.000, 3.304, 0.000], [0.000, 0.000, 7.817]],
  "species": ["Sr", "Li", "Li", "Tc"],
  "frac_coords": [[0.000, 0.000, 0.000], [0.000, 0.000, 0.430], [0.500, 0.500, 0.620], [0.500, 0.500, 0.263]],
  "crystal_system": "tetragonal",
  "total_magnetization_mub_per_atom": 0.509,
  "space_group": "P4mm (99)"
}

=====

Version B
{
  "formula": "SrLi2Tc",
  "functional": "SCAN",
  "state": "PBEsol geometry",
  "cell": [[1.503, 0.867, 10.464], [-1.503, 0.867, 10.464], [0.000, -1.735, 10.464]],
  "species": ["Sr", "Li", "Li", "Tc"],
  "frac_coords": [[0.000, 0.000, 0.000], [0.518, 0.518, 0.518], [0.767, 0.767, 0.767], [0.253, 0.253, 0.253]],
  "crystal_system": "trigonal",
  "total_magnetization_mub_per_atom": 0.289,
  "space_group": "R3m (160)"
}

=====

Need the numbers? Relative energies in meV/atom: version A 0; version B 180.

=====

Version A
{
  "formula": "SrLi2Tc",
  "functional": "SCAN",
  "state": "PBEsol geometry",
  "cell": [[-1.425, 2.667, 5.616], [1.425, -2.667, 5.616], [1.425, 2.667, -5.616]],
  "species": ["Sr", "Li", "Li", "Tc"],
  "frac_coords": [[0.000, 0.000, 0.000], [0.292, 0.792, 0.500], [0.708, 0.208, 0.500], [0.500, 0.500, 0.000]],
  "crystal_system": "orthorhombic",
  "total_magnetization_mub_per_atom": 0.000,
  "space_group": "Immm (71)"
}

=====

Version B
{
  "formula": "SrLi2Tc",
  "functional": "SCAN",
  "state": "PBEsol geometry",
  "cell": [[1.448, 0.836, 10.683], [-1.448, 0.836, 10.683], [0.000, -1.672, 10.683]],
  "species": ["Sr", "Li", "Li", "Tc"],
  "frac_coords": [[0.000, 0.000, 0.000], [0.236, 0.236, 0.236], [0.764, 0.764, 0.764], [0.500, 0.500, 0.500]],
  "crystal_system": "trigonal",
  "total_magnetization_mub_per_atom": 0.186,
  "space_group": "R-3m (166)"
}

=====

Need the numbers? Relative energies in meV/atom: version A 0; version B 252.

=====

Version A
{
  "formula": "SrLi2Y",
  "functional": "SCAN",
  "state": "PBEsol geometry",
  "cell": [[6.008, -1.782, 0.000], [6.008, 1.782, 0.000], [-1.814, 0.000, 5.490]],
  "species": ["Sr", "Li", "Li", "Y"],
  "frac_coords": [[0.000, 0.000, 0.000], [0.241, 0.241, 0.817], [0.548, 0.548, 0.532], [0.793, 0.793, 0.362]],
  "crystal_system": "monoclinic",
  "total_magnetization_mub_per_atom": 0.005,
  "space_group": "Cm (8)"
}

=====

Version B
{
  "formula": "SrLi2Y",
  "functional": "SCAN",
  "state": "PBEsol geometry",
  "cell": [[5.506, -1.746, 0.000], [5.506, 1.746, 0.000], [-0.844, 0.000, 6.530]],
  "species": ["Sr", "Li", "Li", "Y"],
  "frac_coords": [[0.000, 0.000, 0.000], [0.244, 0.244, 0.706], [0.756, 0.756, 0.294], [0.500, 0.500, 0.500]],
  "crystal_system": "monoclinic",
  "total_magnetization_mub_per_atom": 0.114,
  "space_group": "C2/m (12)"
}

=====

Need the numbers? Relative energies in meV/atom: version A 0; version B 93.

=====

Version A
{
  "formula": "SrLi2Y",
  "functional": "SCAN",
  "state": "PBEsol geometry",
  "cell": [[-4.214, 4.214, 3.436], [4.214, -4.214, 3.436], [4.214, 4.214, -3.436]],
  "species": ["Sr", "Sr", "Li", "Li", "Li", "Li", "Y", "Y"],
  "frac_coords": [[0.000, 0.000, 0.000], [0.750, 0.250, 0.500], [0.137, 0.625, 0.012], [0.375, 0.387, 0.512], [0.613, 0.125, 0.988], [0.875, 0.863, 0.488], [0.250, 0.750, 0.500], [0.500, 0.500, 0.000]],
  "crystal_system": "tetragonal",
  "total_magnetization_mub_per_atom": 0.322,
  "space_group": "I-42d (122)"
}

=====

Version B
{
  "formula": "SrLi2Y",
  "functional": "SCAN",
  "state": "PBEsol geometry",
  "cell": [[-1.802, 2.832, 5.781], [1.802, -2.832, 5.781], [1.802, 2.832, -5.781]],
  "species": ["Sr", "Li", "Li", "Y"],
  "frac_coords": [[0.000, 0.000, 0.000], [0.550, 0.550, 0.000], [0.738, 0.238, 0.500], [0.294, 0.794, 0.500]],
  "crystal_system": "orthorhombic",
  "total_magnetization_mub_per_atom": 0.018,
  "space_group": "Imm2 (44)"
}

=====

Need the numbers? Relative energies in meV/atom: version A 204; version B 0.

=====

Version A
{
  "formula": "SrLiZn2",
  "functional": "SCAN",
  "state": "PBEsol geometry",
  "cell": [[3.779, 0.000, 0.000], [0.000, 4.325, 0.000], [-1.877, 0.000, 5.879]],
  "species": ["Sr", "Li", "Zn", "Zn"],
  "frac_coords": [[0.000, 0.000, 0.000], [0.292, 0.500, 0.587], [0.625, 0.500, 0.251], [0.726, 0.000, 0.456]],
  "crystal_system": "monoclinic",
  "total_magnetization_mub_per_atom": 0.000,
  "space_group": "Pm (6)"
}

=====

Version B
{
  "formula": "SrLiZn2",
  "functional": "SCAN",
  "state": "PBEsol geometry",
  "cell": [[-2.053, 2.666, 4.106], [2.053, -2.666, 4.106], [2.053, 2.666, -4.106]],
  "species": ["Sr", "Li", "Zn", "Zn"],
  "frac_coords": [[0.000, 0.000, 0.000], [0.304, 0.804, 0.500], [0.533, 0.533, 0.000], [0.707, 0.207, 0.500]],
  "crystal_system": "orthorhombic",
  "total_magnetization_mub_per_atom": 0.000,
  "space_group": "Imm2 (44)"
}

=====

Version C
{
  "formula": "SrLiZn2",
  "functional": "SCAN",
  "state": "PBEsol geometry",
  "cell": [[3.824, -2.204, 0.000], [3.824, 2.204, 0.000], [-2.523, 0.000, 5.398]],
  "species": ["Sr", "Li", "Zn", "Zn"],
  "frac_coords": [[0.000, 0.000, 0.000], [0.810, 0.810, 0.427], [0.200, 0.200, 0.597], [0.520, 0.520, 0.558]],
  "crystal_system": "monoclinic",
  "total_magnetization_mub_per_atom": 0.000,
  "space_group": "Cm (8)"
}

=====

Need the numbers? Relative energies in meV/atom: version A 104; version B 136; version C 0.

=====

Version A
{
  "formula": "SrLiZn2",
  "functional": "SCAN",
  "state": "PBEsol geometry",
  "cell": [[0.000, 3.564, 3.564], [3.564, 0.000, 3.564], [3.564, 3.564, 0.000]],
  "species": ["Sr", "Li", "Zn", "Zn"],
  "frac_coords": [[0.000, 0.000, 0.000], [0.500, 0.500, 0.500], [0.250, 0.250, 0.250], [0.750, 0.750, 0.750]],
  "crystal_system": "cubic",
  "total_magnetization_mub_per_atom": 0.000,
  "space_group": "Fm-3m (225)"
}

=====

Version B
{
  "formula": "SrLiZn2",
  "functional": "SCAN",
  "state": "PBEsol geometry",
  "cell": [[3.857, -2.221, 0.000], [3.857, 2.221, 0.000], [-2.556, 0.000, 5.401]],
  "species": ["Sr", "Li", "Zn", "Zn"],
  "frac_coords": [[0.000, 0.000, 0.000], [0.500, 0.500, 0.500], [0.191, 0.191, 0.572], [0.809, 0.809, 0.428]],
  "crystal_system": "monoclinic",
  "total_magnetization_mub_per_atom": 0.000,
  "space_group": "C2/m (12)"
}

=====

Version C
{
  "formula": "SrLiZn2",
  "functional": "SCAN",
  "state": "PBEsol geometry",
  "cell": [[4.803, 0.000, 0.000], [0.000, 4.803, 0.000], [0.000, 0.000, 4.122]],
  "species": ["Sr", "Li", "Zn", "Zn"],
  "frac_coords": [[0.000, 0.000, 0.000], [0.500, 0.500, 0.000], [0.000, 0.500, 0.500], [0.500, 0.000, 0.500]],
  "crystal_system": "tetragonal",
  "total_magnetization_mub_per_atom": 0.000,
  "space_group": "P4/mmm (123)"
}

=====

Need the numbers? Relative energies in meV/atom: version A 171; version B 0; version C 261.

=====

Version A
{
  "formula": "SrLiZr",
  "functional": "SCAN",
  "state": "PBEsol geometry",
  "cell": [[5.453, 0.000, 0.000], [-2.726, 4.722, 0.000], [0.000, 0.000, 3.167]],
  "species": ["Sr", "Li", "Zr"],
  "frac_coords": [[0.000, 0.000, 0.000], [0.667, 0.333, 0.780], [0.333, 0.667, 0.438]],
  "crystal_system": "trigonal",
  "total_magnetization_mub_per_atom": 0.293,
  "space_group": "P3m1 (156)"
}

=====

Version B
{
  "formula": "SrLiZr",
  "functional": "SCAN",
  "state": "PBEsol geometry",
  "cell": [[0.000, 3.604, 3.604], [3.604, 0.000, 3.604], [3.604, 3.604, 0.000]],
  "species": ["Sr", "Li", "Zr"],
  "frac_coords": [[0.000, 0.000, 0.000], [0.750, 0.750, 0.750], [0.500, 0.500, 0.500]],
  "crystal_system": "cubic",
  "total_magnetization_mub_per_atom": 0.984,
  "space_group": "F-43m (216)"
}

=====

Need the numbers? Relative energies in meV/atom: version A 0; version B 291.

=====

Version A
{
  "formula": "LiTaTc2",
  "functional": "SCAN",
  "state": "PBEsol geometry",
  "cell": [[2.688, -4.358, 0.000], [2.688, 4.358, 0.000], [0.000, 0.000, 2.528]],
  "species": ["Li", "Ta", "Tc", "Tc"],
  "frac_coords": [[0.000, 0.000, 0.000], [0.500, 0.500, 0.000], [0.000, 0.500, 0.500], [0.500, 0.000, 0.500]],
  "crystal_system": "orthorhombic",
  "total_magnetization_mub_per_atom": 0.000,
  "space_group": "Cmmm (65)"
}

=====

Version B
{
  "formula": "LiTaTc2",
  "functional": "SCAN",
  "state": "PBEsol geometry",
  "cell": [[-1.542, 2.202, 4.250], [1.542, -2.202, 4.250], [1.542, 2.202, -4.250]],
  "species": ["Li", "Ta", "Tc", "Tc"],
  "frac_coords": [[0.000, 0.000, 0.000], [0.500, 0.500, 0.000], [0.255, 0.755, 0.500], [0.745, 0.245, 0.500]],
  "crystal_system": "orthorhombic",
  "total_magnetization_mub_per_atom": 0.000,
  "space_group": "Immm (71)"
}

=====

Version C
{
  "formula": "LiTaTc2",
  "functional": "SCAN",
  "state": "PBEsol geometry",
  "cell": [[3.363, 0.000, 0.000], [0.000, 4.085, 0.000], [0.000, 0.000, 4.130]],
  "species": ["Li", "Ta", "Tc", "Tc"],
  "frac_coords": [[0.000, 0.000, 0.000], [0.500, 0.500, 0.000], [0.000, 0.500, 0.500], [0.500, 0.000, 0.500]],
  "crystal_system": "orthorhombic",
  "total_magnetization_mub_per_atom": 0.000,
  "space_group": "Pmmm (47)"
}

=====

Need the numbers? Relative energies in meV/atom: version A 123; version B 0; version C 41.

=====

Version A
{
  "formula": "Li2YTa",
  "functional": "SCAN",
  "state": "PBEsol geometry",
  "cell": [[2.871, 0.000, 0.000], [0.000, 4.501, 0.000], [0.000, 0.000, 5.957]],
  "species": ["Li", "Li", "Y", "Ta"],
  "frac_coords": [[0.000, 0.000, 0.217], [0.000, 0.000, 0.783], [0.500, 0.500, 0.500], [0.500, 0.500, 0.000]],
  "crystal_system": "orthorhombic",
  "total_magnetization_mub_per_atom": 0.063,
  "space_group": "Pmmm (47)"
}

=====

Version B
{
  "formula": "Li2YTa",
  "functional": "SCAN",
  "state": "PBEsol geometry",
  "cell": [[4.795, 0.000, 0.000], [0.000, 4.795, 0.000], [0.000, 0.000, 3.180]],
  "species": ["Li", "Li", "Y", "Ta"],
  "frac_coords": [[0.000, 0.500, 0.000], [0.500, 0.000, 0.000], [0.000, 0.000, 0.500], [0.500, 0.500, 0.500]],
  "crystal_system": "tetragonal",
  "total_magnetization_mub_per_atom": 0.000,
  "space_group": "P4/mmm (123)"
}

=====

Need the numbers? Relative energies in meV/atom: version A 0; version B 29.